Record 1
Material: KMgBr
Method: DFT, GGA-PBE
State: relaxed

Lattice parameters (Å, degrees): 7.317 7.317 7.317 149.09 149.09 44.27
Atoms (fractional coordinates):
K  0.000  0.000  0.000
Mg  0.291  0.291  0.000
Br  0.640  0.640  0.000

Polymorph energy (0 for the lowest one), kJ per mole of atoms: 1.2

---

Record 2
Material: Li2SbTe
Method: DFT, GGA-PBE
State: relaxed

Lattice parameters (Å, degrees): 6.363 6.363 6.363 103.59 103.59 122.01
Atoms (fractional coordinates):
Li  0.104  0.625  0.979
Li  0.375  0.354  0.479
Li  0.646  0.125  0.021
Li  0.875  0.896  0.521
Sb  0.250  0.750  0.500
Sb  0.500  0.500  0.000
Te  0.000  0.000  0.000
Te  0.750  0.250  0.500

Polymorph energy (0 for the lowest one), kJ per mole of atoms: 13.1

---

The lowest polymorph energy (0 for the lowest one) belongs to which entry?
KMgBr

---

The highest polymorph energy (0 for the lowest one) belongs to which entry?
Li2SbTe

---

Which value of polymorph energy (0 for the lowest one) does entry 2 give?
13.1 kJ per mole of atoms